{
  "formula": "NpPPt3",
  "functional": "PBE-GGA",
  "state": "optimized geometry",
  "formation_enthalpy_0k_ev_per_atom": -0.68,
  "final_energy_ev_per_atom": -7.98,
  "total_magnetization_mub_per_atom": 0.74,
  "sg": "I4mm",
  "cell": [[-1.790, -2.901, 2.103], [2.143, 1.019, 3.229], [-3.791, 2.604, 4.180]],
  "species": ["Np", "P", "Pt", "Pt", "Pt"],
  "frac_coords": [[0.394, 0.198, 0.917], [0.022, 0.825, 0.662], [0.638, 0.941, 0.429], [0.138, 0.441, 0.430], [0.816, 0.619, 0.073]]
}

{
  "formula": "NpP2Pt",
  "functional": "PBE-GGA",
  "state": "optimized geometry",
  "formation_enthalpy_0k_ev_per_atom": -0.42,
  "final_energy_ev_per_atom": -7.87,
  "total_magnetization_mub_per_atom": 0.85,
  "sg": "R-3m",
  "cell": [[-3.455, -0.277, 3.505], [1.316, -0.478, 4.726], [-0.655, 3.056, 3.062]],
  "species": ["Np", "P", "P", "Pt"],
  "frac_coords": [[0.500, 0.500, 0.500], [0.233, 0.233, 0.300], [0.767, 0.767, 0.700], [0.000, 0.000, 0.000]]
}